# 1
Density functional theory data (GGA-PBE) for Na3AlSiTe4 after structural relaxation.

- total moment (μB/cell) = 0.0
- density (Mg/m³) = 3.78
- formation energy from raw total energies (eV per atom) = -0.510
- VASP energy (eV for the cell shown) = -30.28

Cell lengths 4.482, 6.829, 9.376 Å; angles 92.42, 103.32, 90.08 degrees
Atoms (fractional coordinates):
Na: 0.000 0.000 0.000
Na: 0.184 0.281 0.374
Na: 0.382 0.523 0.781
Al: 0.767 0.877 0.548
Si: 0.597 0.580 0.214
Te: 0.005 0.511 0.035
Te: 0.337 0.019 0.693
Te: 0.628 0.973 0.264
Te: 0.770 0.501 0.548

=====

# 2
Density functional theory data (GGA-PBE) for Ac4RuSBr2 after structural relaxation.

- total moment (μB/cell) = 0.0
- density (Mg/m³) = 7.44
- formation energy from raw total energies (eV per atom) = -1.206
- VASP energy (eV for the cell shown) = -42.83

Cell lengths 7.845, 4.241, 8.403 Å; angles 90.00, 106.53, 90.00 degrees
Atoms (fractional coordinates):
Ac: 0.215 0.000 0.197
Ac: 0.256 0.500 0.798
Ac: 0.744 0.500 0.202
Ac: 0.785 0.000 0.803
Ru: 0.000 0.500 0.000
S: 0.500 0.000 0.000
Br: 0.000 0.000 0.500
Br: 0.500 0.500 0.500

=====

# 3
Density functional theory data (GGA-PBE) for K3Pm3InSe8 after structural relaxation.

- total moment (μB/cell) = 0.0
- density (Mg/m³) = 4.42
- formation energy from raw total energies (eV per atom) = -1.410
- VASP energy (eV for the cell shown) = -69.30

Cell lengths 8.450, 8.450, 9.290 Å; angles 117.11, 117.11, 59.93 degrees
Atoms (fractional coordinates):
K: 0.000 0.000 0.000
K: 0.000 0.500 0.000
K: 0.500 0.000 0.000
Pm: 0.000 0.500 0.500
Pm: 0.500 0.000 0.500
Pm: 0.500 0.500 0.500
In: 0.000 0.000 0.500
Se: 0.228 0.228 0.703
Se: 0.228 0.746 0.703
Se: 0.254 0.772 0.297
Se: 0.263 0.263 0.290
Se: 0.737 0.737 0.710
Se: 0.746 0.228 0.703
Se: 0.772 0.254 0.297
Se: 0.772 0.772 0.297

=====

# 4
Density functional theory data (GGA-PBE) for Rb2H8O5 after structural relaxation.

- total moment (μB/cell) = 0.3
- density (Mg/m³) = 2.44
- VASP energy (eV for the cell shown) = -286.36

Cell lengths 8.356, 8.356, 13.671 Å; angles 111.59, 111.59, 54.36 degrees
Atoms (fractional coordinates):
Rb: 0.094 0.617 0.713
Rb: 0.136 0.603 0.139
Rb: 0.191 0.809 0.500
Rb: 0.493 0.887 0.798
Rb: 0.603 0.136 0.639
Rb: 0.617 0.094 0.213
Rb: 0.809 0.191 0.000
Rb: 0.887 0.493 0.298
H: 0.045 0.081 0.305
H: 0.077 0.701 0.934
H: 0.081 0.045 0.805
H: 0.087 0.252 0.662
H: 0.133 0.970 0.198
H: 0.171 0.196 0.067
H: 0.186 0.334 0.473
H: 0.196 0.171 0.567
H: 0.246 0.964 0.950
H: 0.252 0.087 0.162
H: 0.334 0.186 0.973
H: 0.345 0.660 0.036
H: 0.361 0.381 0.483
H: 0.381 0.361 0.983
H: 0.407 0.921 0.413
H: 0.430 0.826 0.238
H: 0.439 0.511 0.884
H: 0.494 0.623 0.356
H: 0.511 0.439 0.384
H: 0.581 0.732 0.114
H: 0.623 0.494 0.856
H: 0.627 0.737 0.531
H: 0.660 0.345 0.536
H: 0.682 0.884 0.412
H: 0.701 0.077 0.434
H: 0.732 0.581 0.614
H: 0.737 0.627 0.031
H: 0.826 0.430 0.738
H: 0.884 0.682 0.912
H: 0.921 0.407 0.913
H: 0.964 0.246 0.450
H: 0.970 0.133 0.698
O: 0.005 0.035 0.224
O: 0.035 0.005 0.724
O: 0.097 0.174 0.433
O: 0.174 0.097 0.933
O: 0.179 0.228 0.147
O: 0.222 0.441 0.498
O: 0.228 0.179 0.647
O: 0.313 0.575 0.969
O: 0.361 0.853 0.165
O: 0.441 0.222 0.998
O: 0.460 0.513 0.324
O: 0.513 0.460 0.824
O: 0.543 0.803 0.413
O: 0.575 0.313 0.469
O: 0.669 0.724 0.609
O: 0.724 0.669 0.109
O: 0.776 0.922 0.410
O: 0.803 0.543 0.913
O: 0.853 0.361 0.665
O: 0.922 0.776 0.910

=====

# 5
Density functional theory data (GGA-PBE) for AgHgOF2 after structural relaxation.

- total moment (μB/cell) = 0.4
- density (Mg/m³) = 7.07
- formation energy from raw total energies (eV per atom) = -0.488
- VASP energy (eV for the cell shown) = -14.30

Cell lengths 4.539, 4.539, 4.132 Å; angles 90.00, 90.00, 90.00 degrees
Atoms (fractional coordinates):
Ag: 0.000 0.000 0.000
Hg: 0.500 0.500 0.500
O: 0.500 0.500 0.000
F: 0.000 0.500 0.500
F: 0.500 0.000 0.500

=====

# 6
Density functional theory data (GGA-PBE) for ZrBeHRh2 after structural relaxation.

- total moment (μB/cell) = 0.0
- density (Mg/m³) = 8.33
- VASP energy (eV for the cell shown) = -32.22

Cell lengths 4.102, 4.102, 3.637 Å; angles 90.00, 90.00, 90.00 degrees
Atoms (fractional coordinates):
Zr: 0.000 0.000 0.000
Be: 0.500 0.500 0.000
H: 0.500 0.500 0.500
Rh: 0.000 0.500 0.500
Rh: 0.500 0.000 0.500

=====

# 7
Density functional theory data (GGA-PBE) for In2FeGeBr after structural relaxation.

- total moment (μB/cell) = 0.7
- density (Mg/m³) = 6.08
- formation energy from raw total energies (eV per atom) = -0.108
- VASP energy (eV for the cell shown) = -20.77

Cell lengths 5.169, 5.169, 4.479 Å; angles 90.00, 90.00, 90.00 degrees
Atoms (fractional coordinates):
In: 0.000 0.500 0.000
In: 0.500 0.000 0.000
Fe: 0.000 0.000 0.000
Ge: 0.000 0.000 0.500
Br: 0.500 0.500 0.500

=====

density of number 6 (ZrBeHRh2)?
8.33 Mg/m³